*a*
Mn2CoCl | PBE-GGA | optimized geometry

Values from the calculation:
Volume (Å³ per atom): 14.543
Calculated density (g/cm3): 5.83

a = 7.887 Å, b = 7.887 Å, c = 7.887 Å
α = 21.58°, β = 21.58°, γ = 21.58°
Atoms (fractional coordinates):
Mn 0.000 0.000 0.000
Mn 0.245 0.245 0.245
Co 0.508 0.508 0.508
Cl 0.745 0.745 0.745



*b*
Mn2CoCl | PBE-GGA | optimized geometry

Values from the calculation:
Volume (Å³ per atom): 14.182
Calculated density (g/cm3): 5.98

a = 4.486 Å, b = 4.486 Å, c = 2.891 Å
α = 90.00°, β = 90.00°, γ = 102.81°
Atoms (fractional coordinates):
Mn 0.000 0.500 0.000
Mn 0.500 0.000 0.000
Co 0.000 0.000 0.500
Cl 0.500 0.500 0.500



So which one is most stable? That would be *a*, about 0.115 eV/atom below the next structure.



*a*
Zr2RuCl | PBE-GGA | optimized geometry

Values from the calculation:
Volume (Å³ per atom): 21.999
Calculated density (g/cm3): 6.02

a = 3.292 Å, b = 3.292 Å, c = 8.119 Å
α = 90.00°, β = 90.00°, γ = 90.00°
Atoms (fractional coordinates):
Zr 0.000 0.000 0.000
Zr 0.500 0.500 0.264
Ru 0.500 0.500 0.847
Cl 0.000 0.000 0.465



*b*
Zr2RuCl | PBE-GGA | optimized geometry

Values from the calculation:
Volume (Å³ per atom): 20.536
Calculated density (g/cm3): 6.45

a = 7.828 Å, b = 7.828 Å, c = 7.828 Å
α = 156.10°, β = 154.96°, γ = 34.88°
Atoms (fractional coordinates):
Zr 0.000 0.000 0.000
Zr 0.778 0.278 0.500
Ru 0.412 0.412 0.000
Cl 0.164 0.664 0.500



So which one is most stable? That would be *b*, about 0.187 eV/atom below the next structure.



*a*
ReAs | PBE-GGA | optimized geometry

Values from the calculation:
Volume (Å³ per atom): 15.889
Calculated density (g/cm3): 13.65

a = 2.979 Å, b = 2.979 Å, c = 4.081 Å
α = 90.00°, β = 90.00°, γ = 118.70°
Atoms (fractional coordinates):
Re 0.000 0.000 0.000
As 0.500 0.500 0.500



*b*
ReAs | PBE-GGA | optimized geometry

Values from the calculation:
Volume (Å³ per atom): 15.452
Calculated density (g/cm3): 14.03

a = 4.669 Å, b = 4.669 Å, c = 4.765 Å
α = 108.07°, β = 108.07°, γ = 39.07°
Atoms (fractional coordinates):
Re 0.134 0.134 0.294
Re 0.866 0.866 0.706
As 0.389 0.389 0.170
As 0.611 0.611 0.830



So which one is most stable? That would be *b*, about 0.481 eV/atom below the next structure.



*a*
Na5B7C3 | PBE-GGA | optimized geometry

Values from the calculation:
Volume (Å³ per atom): 10.387
Calculated density (g/cm3): 2.42

a = 8.568 Å, b = 12.937 Å, c = 12.937 Å
α = 12.55°, β = 90.00°, γ = 90.00°
Atoms (fractional coordinates):
Na 0.246 0.000 0.000
Na 0.246 0.400 0.400
Na 0.247 0.601 0.601
Na 0.250 0.203 0.203
Na 0.250 0.802 0.802
Na 0.750 0.203 0.203
Na 0.750 0.802 0.802
Na 0.753 0.601 0.601
Na 0.754 0.000 0.000
Na 0.754 0.400 0.400
B 0.000 0.065 0.065
B 0.000 0.135 0.135
B 0.000 0.268 0.268
B 0.000 0.471 0.471
B 0.000 0.675 0.675
B 0.000 0.862 0.862
B 0.000 0.932 0.932
B 0.500 0.067 0.067
B 0.500 0.132 0.132
B 0.500 0.337 0.337
B 0.500 0.523 0.523
B 0.500 0.675 0.675
B 0.500 0.743 0.743
B 0.500 0.931 0.931
C 0.000 0.332 0.332
C 0.000 0.534 0.534
C 0.000 0.737 0.737
C 0.500 0.274 0.274
C 0.500 0.463 0.463
C 0.500 0.869 0.869



*b*
Na5B7C3 | PBE-GGA | optimized geometry

Values from the calculation:
Volume (Å³ per atom): 10.385
Calculated density (g/cm3): 2.42

a = 11.613 Å, b = 11.613 Å, c = 9.988 Å
α = 106.96°, β = 106.96°, γ = 14.00°
Atoms (fractional coordinates):
Na 0.000 0.000 0.000
Na 0.099 0.099 0.701
Na 0.197 0.197 0.401
Na 0.299 0.299 0.096
Na 0.401 0.401 0.801
Na 0.500 0.500 0.498
Na 0.597 0.597 0.200
Na 0.699 0.699 0.898
Na 0.799 0.799 0.602
Na 0.900 0.900 0.298
B 0.010 0.010 0.270
B 0.079 0.079 0.410
B 0.179 0.179 0.110
B 0.212 0.212 0.679
B 0.282 0.282 0.816
B 0.315 0.315 0.381
B 0.380 0.380 0.509
B 0.416 0.416 0.081
B 0.585 0.585 0.922
B 0.619 0.619 0.490
B 0.771 0.771 0.293
B 0.822 0.822 0.895
B 0.923 0.923 0.596
B 0.991 0.991 0.733
C 0.116 0.116 0.985
C 0.480 0.480 0.208
C 0.522 0.522 0.796
C 0.681 0.681 0.616
C 0.711 0.711 0.174
C 0.885 0.885 0.018



So which one is most stable? That would be *b*, about 0.005 eV/atom below the next structure.



*a*
CuRe2Ir | PBE-GGA | optimized geometry

Values from the calculation:
Volume (Å³ per atom): 14.181
Calculated density (g/cm3): 18.39

a = 2.713 Å, b = 3.937 Å, c = 5.311 Å
α = 90.00°, β = 90.00°, γ = 90.00°
Atoms (fractional coordinates):
Cu 0.000 0.000 0.000
Re 0.500 0.500 0.232
Re 0.500 0.500 0.768
Ir 0.000 0.000 0.500



*b*
CuRe2Ir | PBE-GGA | optimized geometry

Values from the calculation:
Volume (Å³ per atom): 14.200
Calculated density (g/cm3): 18.36

a = 2.757 Å, b = 2.757 Å, c = 7.471 Å
α = 90.00°, β = 90.00°, γ = 90.00°
Atoms (fractional coordinates):
Cu 0.000 0.000 0.000
Re 0.000 0.000 0.491
Re 0.500 0.500 0.757
Ir 0.500 0.500 0.245



So which one is most stable? That would be *b*, about 0.015 eV/atom below the next structure.



*a*
BaIn2Mo | PBE-GGA | optimized geometry

Values from the calculation:
Volume (Å³ per atom): 27.878
Calculated density (g/cm3): 6.89

a = 5.403 Å, b = 5.403 Å, c = 5.403 Å
α = 60.00°, β = 60.00°, γ = 60.00°
Atoms (fractional coordinates):
Ba 0.000 0.000 0.000
In 0.250 0.250 0.250
In 0.750 0.750 0.750
Mo 0.500 0.500 0.500



*b*
BaIn2Mo | PBE-GGA | optimized geometry

Values from the calculation:
Volume (Å³ per atom): 28.741
Calculated density (g/cm3): 6.69

a = 4.778 Å, b = 4.778 Å, c = 5.036 Å
α = 90.00°, β = 90.00°, γ = 90.00°
Atoms (fractional coordinates):
Ba 0.000 0.000 0.000
In 0.000 0.500 0.500
In 0.500 0.000 0.500
Mo 0.500 0.500 0.000



So which one is most stable? That would be *a*, about 0.134 eV/atom below the next structure.